A plane-wave DFT calculation with PBE was carried out for an optimized crystal structure of LiPbSe2.

Cell lengths 5.0962, 5.0962, 5.0962 Å; angles 60.00, 60.00, 60.00 degrees
Sites, in units of the cell vectors:
1 Li 0.5000 0.5000 0.5000
2 Pb 0.7500 0.7500 0.7500
3 Se 0.0000 0.0000 0.0000
4 Se 0.2500 0.2500 0.2500

- SG = F-43m
- crystal system = cubic
- Fermi-level density of states (states/eV/atom) = 0.40
- E_tot (eV per cell) = -13.070
- M_tot (μB per cell) = 0.00
- ρ (Mg/m³) = 6.6